[1]
Rb6CdIn: relaxed, PBE.

## Properties
Raw total energy, eV/atom: -1.185

CIF file:
```
data_Rb6CdIn
_chemical_formula_sum 'Rb12 Cd2 In2'
_space_group_name_H-M_alt 'A m m 2'
_space_group_IT_number 38
_space_group_name_Hall 'A 2 -2'
_cell_length_a 5.076
_cell_length_b 14.371
_cell_length_c 15.507
_cell_angle_alpha 90.00
_cell_angle_beta 90.00
_cell_angle_gamma 90.00
loop_
_atom_site_label
_atom_site_type_symbol
_atom_site_fract_x
_atom_site_fract_y
_atom_site_fract_z
Rb1 Rb 0.000 0.000 0.000
Rb2 Rb 0.000 0.159 0.699
Rb3 Rb 0.500 0.000 0.272
Rb4 Rb 0.500 0.222 0.454
Cd1 Cd 0.500 0.000 0.575
In1 In 0.000 0.000 0.482
```

***

[2]
Cr2AgN: relaxed, PBE.

## Properties
Formation energy from raw total energies, meV/atom: 339

CIF file:
```
data_Cr2AgN
_chemical_formula_sum 'Cr8 Ag4 N4'
_space_group_name_H-M_alt 'I -4 2 d'
_space_group_IT_number 122
_space_group_name_Hall 'I -4 2bw'
_cell_length_a 5.977
_cell_length_b 5.977
_cell_length_c 5.654
_cell_angle_alpha 90.00
_cell_angle_beta 90.00
_cell_angle_gamma 90.00
loop_
_atom_site_label
_atom_site_type_symbol
_atom_site_fract_x
_atom_site_fract_y
_atom_site_fract_z
Cr1 Cr 0.141 0.250 0.125
Ag1 Ag 0.000 0.000 0.500
N1 N 0.000 0.000 0.000
```

***

[3]
Nd2MgZn2Rh5: relaxed, PBE.

## Properties
Raw total energy, eV/atom: -5.558

CIF file:
```
data_Nd2MgZn2Rh5
_chemical_formula_sum 'Nd4 Mg2 Zn4 Rh10'
_space_group_name_H-M_alt 'P 4/m b m'
_space_group_IT_number 127
_space_group_name_Hall '-P 4 2ab'
_cell_length_a 9.791
_cell_length_b 9.791
_cell_length_c 3.693
_cell_angle_alpha 90.00
_cell_angle_beta 90.00
_cell_angle_gamma 90.00
loop_
_atom_site_label
_atom_site_type_symbol
_atom_site_fract_x
_atom_site_fract_y
_atom_site_fract_z
Nd1 Nd 0.175 0.325 0.000
Mg1 Mg 0.000 0.000 0.000
Zn1 Zn 0.123 0.623 0.000
Rh1 Rh 0.000 0.500 0.500
Rh2 Rh 0.067 0.795 0.500
```

***

[4]
LiGdMg4: relaxed, PBE.

## Properties
Raw total energy, eV/atom: -3.710

CIF file:
```
data_LiGdMg4
_chemical_formula_sum 'Li4 Gd4 Mg16'
_space_group_name_H-M_alt 'F -4 3 m'
_space_group_IT_number 216
_space_group_name_Hall 'F -4 2 3'
_cell_length_a 8.476
_cell_length_b 8.476
_cell_length_c 8.476
_cell_angle_alpha 90.00
_cell_angle_beta 90.00
_cell_angle_gamma 90.00
loop_
_atom_site_label
_atom_site_type_symbol
_atom_site_fract_x
_atom_site_fract_y
_atom_site_fract_z
Li1 Li 0.000 0.000 0.000
Gd1 Gd 0.250 0.250 0.750
Mg1 Mg 0.125 0.125 0.375
```

***

Quick rundown of size of the total moment, same order as above: 0.0; 0.0; 0.0; 30.4 μB per cell